# 1
HgP2PtS | PBE | optimized geometry

a = 4.6133 Å, b = 4.6133 Å, c = 5.1754 Å
α = 90.00°, β = 90.00°, γ = 90.00°
Closest atoms and distances in Å follow each position.
Space group P4/mmm (No. 123)
Unique sites:
Hg 0.0000 0.0000 0.0000 (multiplicity 1)  4 S 3.26, 8 P 3.47
P 0.0000 0.5000 0.5000 (multiplicity 2)  2 Pt 2.31
Pt 0.5000 0.5000 0.5000 (multiplicity 1)  4 P 2.31
S 0.5000 0.5000 0.0000 (multiplicity 1)  2 Pt 2.59

Output
Formation energy (no corrections) (meV/atom): 667
Magnetization (μB/atom): 0.00
Crystal system: tetragonal
Final energy (eV per atom): -3.591
ΔE to the lowest computed polymorph (eV/atom): 0.000



# 2
BaZrAu | PBE | optimized geometry

a = 7.3499 Å, b = 7.3499 Å, c = 7.3499 Å
α = 90.00°, β = 90.00°, γ = 90.00°
Closest atoms and distances in Å follow each position.
Space group F-43m (No. 216)
Unique sites:
Ba 0.0000 0.0000 0.0000 (multiplicity 4)  4 Au 3.18
Zr 0.0000 0.0000 0.5000 (multiplicity 4)  4 Au 3.18
Au 0.2500 0.2500 0.2500 (multiplicity 4)  4 Zr 3.18, 4 Ba 3.18

Output
Magnetization (μB/atom): 0.70
Crystal system: cubic
Final energy (eV per atom): -4.248
ΔE to the lowest computed polymorph (eV/atom): 0.469
Formation energy (eV per atom): 0.335



# 3
K2ZrCl | PBE | optimized geometry

a = 3.6269 Å, b = 6.1495 Å, c = 11.8907 Å
α = 90.00°, β = 90.00°, γ = 90.00°
Closest atoms and distances in Å follow each position.
Space group Cmm2 (No. 35)
Unique sites:
K 0.0000 0.0000 0.0000 (multiplicity 2)  2 Cl 3.07
K 0.0000 0.5000 0.3462 (multiplicity 2)  6 K 3.57-3.63, 2 Zr 3.72
Zr 0.0000 0.0000 0.6194 (multiplicity 2)  2 Cl 2.74
Cl 0.0000 0.5000 0.7916 (multiplicity 2)  2 Zr 2.74

Output
Formation energy (no corrections) (meV/atom): -125
Magnetization (μB/atom): 0.00
Crystal system: orthorhombic
Final energy (eV per atom): -3.272
ΔE to the lowest computed polymorph (eV/atom): 0.157



# 4
Pr12H5Pd3 | PBE | optimized geometry

a = 15.8355 Å, b = 15.8355 Å, c = 15.8355 Å
α = 90.00°, β = 90.00°, γ = 90.00°
Closest atoms and distances in Å follow each position.
Space group Ia-3d (No. 230)
Unique sites:
Pr 0.0374 0.0614 0.6528 (multiplicity 96)  1 H 2.29
H 0.0000 0.0000 0.0000 (multiplicity 16)  6 Pr 2.67
H 0.0000 0.2500 0.3750 (multiplicity 24)  4 Pr 2.29
Pd 0.0000 0.2500 0.1250 (multiplicity 24)  8 Pr 3.08-3.15

Output
Magnetization (μB/atom): 0.00
Crystal system: cubic
Final energy (eV per atom): -4.839